A plane-wave DFT calculation with GGA-PBE was carried out for a relaxed SiGe3Te4 crystal.

Structure (POSCAR):
```
SiGe3Te4
1.0
-1.209 4.642 -3.699
-5.813 -0.406 1.391
1.631 7.626 9.038
Si Te Ge
2 8 6
Direct
0.541 0.776 0.500
0.041 0.224 0.000
0.594 0.250 0.000
0.082 0.249 0.246
0.082 0.249 0.754
0.582 0.751 0.254
0.582 0.751 0.746
0.082 0.756 0.000
0.094 0.750 0.500
0.582 0.244 0.500
0.544 0.258 0.750
0.544 0.258 0.250
0.044 0.742 0.250
0.545 0.764 0.000
0.044 0.742 0.750
0.045 0.236 0.500
```

## Properties
SG: No. 31

A plane-wave DFT calculation with GGA-PBE was carried out for a relaxed Th8SiGe3Te4 crystal.

Structure (POSCAR):
```
Th8SiGe3Te4
1.0
-3.926 -7.523 1.983
6.351 -1.744 5.957
-4.419 7.493 0.530
Ge Te Th Si
3 4 8 1
Direct
0.000 0.500 0.500
0.500 0.500 0.500
0.500 0.500 0.000
0.500 0.000 0.500
0.000 0.000 0.000
0.000 0.000 0.500
0.500 0.000 0.000
0.235 0.714 0.979
0.765 0.286 0.021
0.765 0.286 0.530
0.744 0.714 0.979
0.256 0.286 0.021
0.235 0.714 0.470
0.739 0.716 0.478
0.261 0.284 0.522
0.000 0.500 0.000
```

## Properties
SG: No. 166
DOS at the Fermi energy in states/eV/cell: 8.27

A plane-wave DFT calculation with GGA-PBE was carried out for a relaxed Th4SiGeTe2 crystal.

Structure (POSCAR):
```
Th4SiGeTe2
1.0
-3.134 -2.426 -1.764
-0.380 -4.101 6.314
-4.933 5.948 0.583
Si Te Th Ge
1 2 4 1
Direct
0.500 0.500 0.000
0.500 0.000 0.500
0.000 0.500 0.500
0.000 0.268 0.788
0.000 0.732 0.212
0.500 0.757 0.786
0.500 0.243 0.214
0.000 0.000 0.000
```

## Properties
SG: No. 10
DOS at the Fermi energy in states/eV/cell: 3.64

A plane-wave DFT calculation with GGA-PBE was carried out for a relaxed Th6SiGe2Te3 crystal.

Structure (POSCAR):
```
Th6SiGe2Te3
1.0
4.351 0.000 0.000
0.000 8.887 0.190
-2.175 -2.692 9.267
Th Si Te Ge
6 1 3 2
Direct
0.657 0.100 0.314
0.007 0.226 0.013
0.343 0.900 0.686
0.674 0.564 0.348
0.326 0.436 0.652
0.993 0.774 0.987
0.500 0.000 0.000
0.500 0.500 0.000
0.832 0.167 0.665
0.168 0.833 0.335
0.834 0.667 0.667
0.166 0.333 0.333
```

## Properties
SG: No. 12
DOS at the Fermi energy in states/eV/cell: 5.66

A plane-wave DFT calculation with GGA-PBE was carried out for a relaxed Th6Si2GeTe3 crystal.

Structure (POSCAR):
```
Th6Si2GeTe3
1.0
4.338 0.000 0.000
0.000 8.891 0.169
-2.169 -2.715 9.260
Th Te Si Ge
6 3 2 1
Direct
0.010 0.233 0.020
0.340 0.892 0.680
0.990 0.767 0.980
0.675 0.561 0.351
0.660 0.108 0.320
0.325 0.439 0.649
0.500 0.500 0.000
0.834 0.167 0.669
0.166 0.833 0.331
0.833 0.666 0.666
0.167 0.334 0.334
0.500 0.000 0.000
```

## Properties
SG: No. 12
DOS at the Fermi energy in states/eV/cell: 5.26

A plane-wave DFT calculation with GGA-PBE was carried out for a relaxed TiSiGeTe2 crystal.

Structure (POSCAR):
```
TiSiGeTe2
1.0
5.308 0.000 0.000
0.000 4.762 0.000
0.000 0.000 5.308
Ge Te Si Ti
1 2 1 1
Direct
0.500 0.500 0.500
0.500 0.000 0.000
0.000 0.000 0.500
0.000 0.000 0.000
0.000 0.500 0.000
```

## Properties
SG: No. 123
DOS at the Fermi energy in states/eV/cell: 4.88

A plane-wave DFT calculation with GGA-PBE was carried out for a relaxed TlSiGe2Te crystal.

Structure (POSCAR):
```
TlSiGe2Te
1.0
-3.909 2.510 1.693
-1.936 -4.569 2.305
2.471 1.048 4.152
Si Tl Ge Te
1 1 2 1
Direct
0.000 0.000 0.000
0.500 0.500 0.500
0.500 0.000 0.000
0.000 0.000 0.500
0.000 0.500 0.000
```

## Properties
SG: No. 123
DOS at the Fermi energy in states/eV/cell: 3.04

A plane-wave DFT calculation with GGA-PBE was carried out for a relaxed Tm8SiGe3Te4 crystal.

Structure (POSCAR):
```
Tm8SiGe3Te4
1.0
-3.382 6.871 3.385
-5.046 0.866 -6.800
-0.025 -7.211 4.256
Ge Tm Te Si
3 8 4 1
Direct
0.500 0.500 0.500
0.500 0.500 0.000
0.000 0.500 0.500
0.239 0.717 0.979
0.238 0.717 0.477
0.761 0.283 0.021
0.740 0.717 0.979
0.260 0.283 0.021
0.261 0.283 0.522
0.739 0.717 0.478
0.762 0.283 0.523
0.000 0.000 0.000
0.000 0.000 0.500
0.500 0.000 0.500
0.500 0.000 0.000
0.000 0.500 0.000
```

## Properties
SG: No. 166
DOS at the Fermi energy in states/eV/cell: 2.29

A plane-wave DFT calculation with GGA-PBE was carried out for a relaxed Tm6SiGe2Te3 crystal.

Structure (POSCAR):
```
Tm6SiGe2Te3
1.0
4.186 0.000 0.000
0.000 8.506 0.204
-2.093 -2.554 8.886
Te Tm Ge Si
3 6 2 1
Direct
0.833 0.167 0.666
0.167 0.833 0.334
0.500 0.500 0.000
0.993 0.770 0.986
0.007 0.230 0.014
0.659 0.100 0.318
0.326 0.435 0.653
0.674 0.565 0.347
0.341 0.900 0.682
0.167 0.333 0.333
0.833 0.667 0.667
0.500 0.000 0.000
```

## Properties
SG: No. 12
DOS at the Fermi energy in states/eV/cell: 2.03

A plane-wave DFT calculation with GGA-PBE was carried out for a relaxed Tm6Si2GeTe3 crystal.

Structure (POSCAR):
```
Tm6Si2GeTe3
1.0
4.179 0.000 0.000
0.000 8.502 0.196
-2.090 -2.561 8.878
Tm Te Ge Si
6 3 1 2
Direct
0.008 0.233 0.015
0.674 0.564 0.348
0.992 0.767 0.985
0.326 0.436 0.652
0.660 0.103 0.320
0.340 0.897 0.680
0.166 0.833 0.333
0.834 0.167 0.667
0.500 0.500 0.000
0.500 0.000 0.000
0.167 0.333 0.334
0.833 0.667 0.666
```

## Properties
SG: No. 12
DOS at the Fermi energy in states/eV/cell: 2.06

A plane-wave DFT calculation with GGA-PBE was carried out for a relaxed Tm8Si3GeTe4 crystal.

Structure (POSCAR):
```
Tm8Si3GeTe4
1.0
8.352 0.000 0.000
0.000 8.503 0.101
-4.176 -4.172 5.909
Si Te Tm Ge
3 4 8 1
Direct
0.500 0.500 0.500
0.500 0.500 0.000
0.000 0.500 0.500
0.000 0.000 0.500
0.000 0.000 0.000
0.500 0.000 0.500
0.500 0.000 0.000
0.261 0.284 0.522
0.761 0.284 0.522
0.739 0.716 0.478
0.738 0.717 0.978
0.760 0.283 0.022
0.240 0.717 0.978
0.262 0.283 0.022
0.239 0.716 0.478
0.000 0.500 0.000
```

## Properties
SG: No. 166
DOS at the Fermi energy in states/eV/cell: 2.26

A plane-wave DFT calculation with GGA-PBE was carried out for a relaxed Tm4SiGeTe2 crystal.

Structure (POSCAR):
```
Tm4SiGeTe2
1.0
-2.057 -3.061 1.977
4.610 -4.868 -2.739
2.626 2.425 6.485
Tm Te Ge Si
4 2 1 1
Direct
0.500 0.240 0.217
0.500 0.760 0.783
0.000 0.262 0.783
0.000 0.738 0.217
0.000 0.500 0.500
0.500 0.000 0.500
0.000 0.000 0.000
0.500 0.500 0.000
```

## Properties
SG: No. 10
DOS at the Fermi energy in states/eV/cell: 1.18

| no. | formation energy from raw total energies (eV per atom) | calculated density (Mg/m³) |
| --- | --- | --- |
| 1 | -0.01 | 5.80 |
| 2 | -1.00 | 9.01 |
| 3 | -0.99 | 8.89 |
| 4 | -1.00 | 8.97 |
| 5 | -0.99 | 8.80 |
| 6 | 0.65 | 5.00 |
| 7 | 0.41 | 6.27 |
| 8 | -1.12 | 8.23 |
| 9 | -1.11 | 8.18 |
| 10 | -1.08 | 7.98 |
| 11 | -1.07 | 7.92 |
| 12 | -1.09 | 8.07 |